No. 1
Here is a relaxed Ca3In2 crystal from the Alexandria database. Energies are from GGA-PBE.

```
20
Lattice="-5.147 -5.487 2.826 2.917 -5.829 -6.004 6.149 -2.820 5.724" Properties=species:S:1:pos:R:3 pbc="T T T"
Ca 1.788 -2.781 3.569
Ca -0.786 -5.525 4.982
Ca 0.171 -4.286 -2.295
Ca -2.402 -7.029 -0.882
Ca 3.166 -3.021 -0.098
Ca 5.899 -5.628 -0.182
Ca 3.088 -6.017 5.370
Ca 0.830 -8.119 -2.823
Ca 5.522 -3.403 3.449
Ca 3.544 -5.245 -3.729
Ca 3.717 -8.745 1.219
Ca 0.201 -5.390 1.328
In 0.079 -2.223 0.548
In 6.860 -8.692 0.339
In 1.303 -7.821 3.335
In 0.489 -8.580 0.379
In 3.429 -5.556 2.168
In 2.615 -6.314 -0.788
In -2.942 -5.443 2.208
In 3.839 -11.913 1.999
```

Results
Relative energy among the computed polymorphs   0.000 eV/atom
E_form   -0.3954 eV/atom
Total energy   -2.692 eV/atom



No. 2
Here is a relaxed CaIn2 crystal from the Alexandria database. Energies are from GGA-PBE.

```
6
Lattice="4.950 0.000 0.000 -2.475 4.287 0.000 0.000 0.000 7.768" Properties=species:S:1:pos:R:3 pbc="T T T"
Ca 0.000 0.000 5.826
Ca 0.000 0.000 1.942
In 0.000 2.858 7.397
In 2.475 1.429 3.513
In 0.000 2.858 4.255
In 2.475 1.429 0.371
```

Results
E_form   -0.4354 eV/atom
Total energy   -2.928 eV/atom



No. 3
Here is a relaxed Ca3In crystal from the Alexandria database. Energies are from GGA-PBE.

```
4
Lattice="-9.248 0.829 -7.334 -7.313 -1.934 -9.099 -9.664 -2.791 -6.231" Properties=species:S:1:pos:R:3 pbc="T T T"
Ca -19.372 -2.878 -16.741
Ca -13.113 -1.948 -11.332
Ca -6.853 -1.018 -5.923
In 0.000 0.000 0.000
```

Results
E_form   -0.1493 eV/atom
Total energy   -2.335 eV/atom



No. 4
Here is a relaxed Ca3In2 crystal from the Alexandria database. Energies are from GGA-PBE.

```
5
Lattice="2.687 -4.654 0.000 2.687 4.654 0.000 0.000 0.000 6.669" Properties=species:S:1:pos:R:3 pbc="T T T"
Ca 0.000 0.000 0.000
Ca 2.687 -1.551 4.380
Ca 2.687 1.551 2.290
In 2.687 -1.551 1.028
In 2.687 1.551 5.642
```

Results
Relative energy among the computed polymorphs   0.069 eV/atom
E_form   -0.3267 eV/atom
Total energy   -2.623 eV/atom



No. 5
Here is a relaxed CaIn2 crystal from the Alexandria database. Energies are from GGA-PBE.

```
6
Lattice="-4.879 0.564 2.234 0.717 -3.462 -4.077 1.412 -4.753 4.284" Properties=species:S:1:pos:R:3 pbc="T T T"
Ca -0.795 -3.308 -0.902
Ca -1.955 -4.343 3.344
In 0.000 0.000 0.000
In 0.706 -2.377 2.142
In -0.089 -5.685 1.240
In -2.661 -1.966 1.202
```

Results
E_form   -0.3003 eV/atom
Total energy   -2.793 eV/atom



No. 6
Here is a relaxed CaIn5 crystal from the Alexandria database. Energies are from GGA-PBE.

```
6
Lattice="6.412 0.053 0.150 5.414 3.435 0.150 2.409 0.710 7.641" Properties=species:S:1:pos:R:3 pbc="T T T"
Ca 11.766 3.471 0.339
In 4.624 1.364 2.741
In 9.594 2.830 5.310
In 7.857 2.318 2.258
In 12.770 3.767 4.881
In 5.544 1.635 7.273
```

Results
Relative energy among the computed polymorphs   0.057 eV/atom
E_form   -0.1404 eV/atom
Total energy   -2.756 eV/atom



No. 7
Here is a relaxed CaIn4 crystal from the Alexandria database. Energies are from GGA-PBE.

```
10
Lattice="4.782 0.000 -1.397 -0.747 6.140 -2.556 0.037 0.108 9.009" Properties=species:S:1:pos:R:3 pbc="T T T"
Ca 4.206 0.984 5.516
Ca -0.134 5.263 -0.459
In 0.249 2.208 0.851
In 3.823 4.039 4.205
In 2.391 0.000 -0.698
In 2.017 3.070 -1.976
In 3.198 1.271 2.065
In 0.874 4.977 2.991
In 1.242 1.944 4.253
In 2.829 4.304 0.803
```

Results
E_form   -0.2344 eV/atom
Total energy   -2.825 eV/atom



No. 8
Here is a relaxed Ca2In crystal from the Alexandria database. Energies are from GGA-PBE.

```
3
Lattice="-5.386 0.819 0.179 2.391 -1.391 -4.697 -0.476 -3.287 0.732" Properties=species:S:1:pos:R:3 pbc="T T T"
Ca -0.439 -2.298 -2.706
Ca -3.032 -1.561 -1.081
In 0.000 0.000 0.000
```

Results
E_form   -0.1919 eV/atom
Total energy   -2.439 eV/atom



No. 9
Here is a relaxed Ca3In crystal from the Alexandria database. Energies are from GGA-PBE.

```
16
Lattice="6.466 0.000 0.000 0.000 9.012 0.000 0.000 0.000 9.976" Properties=species:S:1:pos:R:3 pbc="T T T"
Ca 0.619 0.254 7.482
Ca 3.852 4.252 2.494
Ca 2.614 4.760 7.482
Ca 5.847 8.759 2.494
Ca 4.033 1.549 9.369
Ca 0.800 2.957 0.607
Ca 5.666 6.055 5.595
Ca 2.433 7.463 4.381
Ca 2.433 7.463 0.607
Ca 5.666 6.055 9.369
Ca 0.800 2.957 4.381
Ca 4.033 1.549 5.595
In 3.625 7.890 7.482
In 0.392 5.629 2.494
In 6.073 3.383 7.482
In 2.840 1.123 2.494
```

Results
E_form   -0.2634 eV/atom
Total energy   -2.449 eV/atom



No. 10
Here is a relaxed CaIn5 crystal from the Alexandria database. Energies are from GGA-PBE.

```
6
Lattice="4.917 0.000 0.000 -2.458 5.980 -0.585 0.000 -3.021 5.789" Properties=species:S:1:pos:R:3 pbc="T T T"
Ca 0.000 0.000 0.000
In 0.000 3.770 0.112
In 0.000 -1.511 2.895
In 2.458 -0.811 5.092
In 2.458 0.686 2.225
In 0.000 2.272 2.979
```

Results
Relative energy among the computed polymorphs   0.008 eV/atom
E_form   -0.1891 eV/atom
Total energy   -2.805 eV/atom



No. 11
Here is a relaxed Ca2In crystal from the Alexandria database. Energies are from GGA-PBE.

```
3
Lattice="3.797 0.000 0.000 -1.898 3.288 0.000 0.000 0.000 8.366" Properties=species:S:1:pos:R:3 pbc="T T T"
Ca 1.898 1.096 5.850
Ca 0.000 2.192 2.516
In 0.000 0.000 0.000
```

Results
E_form   -0.1826 eV/atom
Total energy   -2.430 eV/atom



No. 12
Here is a relaxed CaIn6 crystal from the Alexandria database. Energies are from GGA-PBE.

```
7
Lattice="-0.159 3.515 6.012 2.002 -6.563 1.200 4.509 3.044 -4.351" Properties=species:S:1:pos:R:3 pbc="T T T"
Ca 0.000 0.000 0.000
In 3.716 -2.522 0.227
In 2.549 -2.404 2.818
In 4.343 -0.120 -1.160
In 2.636 2.518 2.634
In 3.802 2.400 0.043
In 2.009 0.116 4.021
```

Results
Relative energy among the computed polymorphs   0.391 eV/atom
E_form   0.2525 eV/atom
Total energy   -2.381 eV/atom



No. 13
Here is a relaxed Ca8In crystal from the Alexandria database. Energies are from GGA-PBE.

```
9
Lattice="-1.016 2.554 -4.615 -8.258 1.350 -0.561 0.385 8.266 1.363" Properties=species:S:1:pos:R:3 pbc="T T T"
Ca -0.229 3.464 -1.159
Ca -0.402 7.355 -2.094
Ca -6.340 2.604 -3.416
Ca -5.464 3.586 0.061
Ca -5.656 7.333 -0.950
Ca -3.233 4.837 -2.864
Ca -2.409 6.030 0.741
Ca -2.933 1.300 -1.761
In 0.000 0.000 0.000
```

Results
E_form   -0.0938 eV/atom
Total energy   -2.177 eV/atom



No. 14
Here is a relaxed Ca4In3 crystal from the Alexandria database. Energies are from GGA-PBE.

```
14
Lattice="-3.334 5.522 -1.914 3.116 -3.429 -7.439 -6.023 -5.006 3.933" Properties=species:S:1:pos:R:3 pbc="T T T"
Ca -1.667 2.761 -0.957
Ca 0.000 0.000 0.000
Ca -4.178 -0.063 -4.785
Ca -0.723 -0.261 -3.491
Ca 0.087 -3.220 -5.552
Ca -2.063 -2.850 -0.635
Ca -5.518 -2.652 -1.928
Ca -6.328 0.307 0.132
In -3.869 -5.591 -1.326
In -4.920 -2.558 1.371
In -3.398 0.103 -1.488
In -2.371 2.678 -4.094
In -1.320 -0.355 -6.791
In -2.843 -3.016 -3.931
```

Results
Relative energy among the computed polymorphs   0.000 eV/atom
E_form   -0.4124 eV/atom
Total energy   -2.730 eV/atom



No. 15
Here is a relaxed Ca5In6 crystal from the Alexandria database. Energies are from GGA-PBE.

```
11
Lattice="-2.528 -2.214 -4.185 1.075 -6.889 2.992 -6.123 5.144 4.420" Properties=species:S:1:pos:R:3 pbc="T T T"
Ca 0.538 -3.445 1.496
Ca -2.890 -4.365 0.611
Ca -4.685 0.405 2.616
Ca -3.728 -3.076 3.877
Ca -3.847 -0.884 -0.650
In -0.403 -6.614 0.302
In -1.050 -2.489 -1.495
In -6.406 1.308 -0.263
In -5.784 -2.688 1.471
In -1.169 -5.268 3.490
In -1.792 -1.272 1.756
```

Results
E_form   -0.3729 eV/atom
Total energy   -2.776 eV/atom



No. 16
Here is a relaxed Ca2In3 crystal from the Alexandria database. Energies are from GGA-PBE.

```
5
Lattice="-0.909 4.166 -3.105 -2.094 -0.190 4.838 5.333 2.972 2.426" Properties=species:S:1:pos:R:3 pbc="T T T"
Ca -0.436 3.197 -0.063
Ca 2.766 3.750 4.221
In 0.000 0.000 0.000
In 2.147 4.637 1.112
In 0.183 2.311 3.046
```

Results
Relative energy among the computed polymorphs   0.157 eV/atom
E_form   -0.1935 eV/atom
Total energy   -2.637 eV/atom



No. 17
Here is a relaxed Ca3In crystal from the Alexandria database. Energies are from GGA-PBE.

```
4
Lattice="-0.896 -1.958 5.268 2.838 -4.570 1.859 4.033 0.576 3.975" Properties=species:S:1:pos:R:3 pbc="T T T"
Ca 1.494 -1.488 2.775
Ca 2.987 -2.976 5.551
Ca 4.481 -4.464 8.326
In 0.000 0.000 0.000
```

Results
E_form   -0.2201 eV/atom
Total energy   -2.406 eV/atom



No. 18
Here is a relaxed Ca5In2 crystal from the Alexandria database. Energies are from GGA-PBE.

```
14
Lattice="-4.883 -2.483 -0.964 0.888 -4.923 8.185 -1.856 8.538 3.456" Properties=species:S:1:pos:R:3 pbc="T T T"
Ca -1.566 -1.543 3.919
Ca -2.277 6.383 3.150
Ca -0.744 1.614 7.610
Ca -2.229 -1.706 7.640
Ca -5.106 -0.482 3.067
Ca -3.621 2.838 3.037
Ca -3.574 -5.251 7.527
Ca -4.284 2.675 6.759
Ca -3.432 -3.089 1.325
Ca -0.562 -4.317 5.896
In -1.786 4.420 5.667
In -2.073 0.411 1.398
In -4.064 -3.288 5.010
In -3.778 0.721 9.279
```

Results
Relative energy among the computed polymorphs   0.011 eV/atom
E_form   -0.3189 eV/atom
Total energy   -2.531 eV/atom



No. 19
Here is a relaxed Ca5In2 crystal from the Alexandria database. Energies are from GGA-PBE.

```
14
Lattice="6.643 0.000 -2.820 -1.441 7.132 -3.395 0.198 0.139 9.701" Properties=species:S:1:pos:R:3 pbc="T T T"
Ca 0.248 1.695 0.584
Ca 5.152 5.576 2.902
Ca 2.564 6.670 -3.195
Ca 2.836 0.601 6.680
Ca 2.245 5.293 0.671
Ca -0.166 1.978 4.225
Ca 3.155 1.978 2.815
Ca 5.566 5.293 -0.739
Ca 4.261 3.566 -3.813
Ca 0.940 3.566 -2.403
In 1.740 4.616 4.099
In 3.659 2.655 -0.614
In 5.799 0.967 4.427
In -0.400 6.303 -0.941
```

Results
Relative energy among the computed polymorphs   0.000 eV/atom
E_form   -0.3301 eV/atom
Total energy   -2.542 eV/atom



No. 20
Here is a relaxed Ca2In3 crystal from the Alexandria database. Energies are from GGA-PBE.

```
5
Lattice="12.811 -1.848 0.067 12.811 1.848 0.067 12.528 0.000 3.255" Properties=species:S:1:pos:R:3 pbc="T T T"
Ca 15.201 0.000 1.350
Ca 22.950 0.000 2.039
In 0.000 0.000 0.000
In 30.584 0.000 2.717
In 7.567 0.000 0.672
```

Results
Relative energy among the computed polymorphs   0.116 eV/atom
E_form   -0.2343 eV/atom
Total energy   -2.678 eV/atom



No. 21
Here is a relaxed Ca3In2 crystal from the Alexandria database. Energies are from GGA-PBE.

```
10
Lattice="-1.613 -0.559 -3.651 8.135 -0.020 -3.591 0.480 -8.806 1.136" Properties=species:S:1:pos:R:3 pbc="T T T"
Ca 0.000 0.000 0.000
Ca 4.307 -4.413 -1.228
Ca 0.910 -6.195 -1.679
Ca 1.949 -1.795 -2.811
Ca 5.053 -7.589 -3.296
Ca 6.091 -3.189 -4.428
In 3.469 -7.711 -0.352
In 1.198 -3.303 -0.024
In 7.416 -5.523 -2.431
In 5.146 -1.115 -2.103
```

Results
Relative energy among the computed polymorphs   0.007 eV/atom
E_form   -0.3887 eV/atom
Total energy   -2.685 eV/atom



No. 22
Here is a relaxed Ca2In crystal from the Alexandria database. Energies are from GGA-PBE.

```
3
Lattice="-0.458 -5.491 0.067 4.683 -0.426 -2.873 1.887 -0.119 3.093" Properties=species:S:1:pos:R:3 pbc="T T T"
Ca 3.285 -0.273 0.110
Ca 0.714 -2.805 1.580
In 0.000 0.000 0.000
```

Results
E_form   -0.2396 eV/atom
Total energy   -2.487 eV/atom



No. 23
Here is a relaxed CaIn6 crystal from the Alexandria database. Energies are from GGA-PBE.

```
14
Lattice="-4.139 3.763 3.720 -4.727 -4.752 -0.452 3.087 -3.758 7.237" Properties=species:S:1:pos:R:3 pbc="T T T"
Ca -2.070 1.882 1.860
Ca -2.363 -2.376 -0.226
In -3.936 -1.100 2.800
In 0.497 -0.605 1.166
In 2.590 -3.153 6.071
In -1.843 -3.647 7.705
In -5.512 -1.394 5.340
In -4.193 -4.030 3.408
In -2.491 0.385 4.975
In -1.172 -2.252 3.043
In -4.700 -3.848 6.799
In -1.879 -4.975 5.011
In -2.994 -0.874 7.616
In -0.174 -2.001 5.827
```

Results
Relative energy among the computed polymorphs   0.000 eV/atom
E_form   -0.1384 eV/atom
Total energy   -2.772 eV/atom



No. 24
Here is a relaxed CaIn2 crystal from the Alexandria database. Energies are from GGA-PBE.

```
12
Lattice="-2.706 -4.252 3.548 3.100 -1.715 -5.044 8.396 -0.808 5.435" Properties=species:S:1:pos:R:3 pbc="T T T"
Ca 1.727 -2.615 -1.816
Ca 3.990 -3.864 3.765
Ca 7.063 -4.160 5.755
Ca 4.800 -2.910 0.173
In 0.000 0.000 0.000
In 4.198 -0.404 2.717
In 1.890 -4.844 0.991
In 6.900 -1.931 2.948
In 1.700 -1.964 1.713
In 0.394 -4.016 3.425
In 8.396 -2.759 0.514
In 7.090 -4.810 2.226
```

Results
E_form   -0.3488 eV/atom
Total energy   -2.842 eV/atom



In the order shown, the computed spin magnetization values come out to 0.00, 0.00, 0.00, 0.00, 0.00, 0.00, 0.00, 0.00, 0.00, 0.00, 0.00, 0.00, 0.00, 0.00, 0.00, 0.00, 0.00, 0.00, 0.00, 0.00, 0.00, 0.00, 0.00, 0.00 μB per formula unit.